Record 1
VASP calculation (PBE) on ZrGeOF2 after structural relaxation.

a b c (Å): 4.287 4.287 4.136
angles (deg): 90.00 90.00 90.00
Space group P4/mmm (No. 123)
Unique sites:
Zr  0.000  0.000  0.000 [1 per cell]
Ge  0.500  0.500  0.500 [1 per cell]
O  0.500  0.500  0.000 [1 per cell]
F  0.000  0.500  0.500 [2 per cell]

Results
The mass density is 4.759 g/cm3. The electronic total energy is -5.423 eV per atom.


Record 2
VASP calculation (PBE) on Ge3OsF after structural relaxation.

a b c (Å): 4.768 4.768 4.768
angles (deg): 90.00 90.00 90.00
Space group Pm-3m (No. 221)
Unique sites:
Ge  0.000  0.000  0.500 [3 per cell]
Os  0.000  0.000  0.000 [1 per cell]
F  0.500  0.500  0.500 [1 per cell]

Results
The mass density is 6.542 g/cm3. The electronic total energy is -5.543 eV per atom.


Record 3
VASP calculation (PBE) on Ge2Os2F after structural relaxation.

a b c (Å): 7.032 7.032 3.000
angles (deg): 90.00 90.00 90.00
Space group P4/mbm (No. 127)
Unique sites:
Ge  0.148  0.352  0.000 [4 per cell]
Os  0.148  0.648  0.500 [4 per cell]
F  0.000  0.000  0.500 [2 per cell]

Results
The mass density is 12.193 g/cm3. The electronic total energy is -6.661 eV per atom.


Record 4
VASP calculation (PBE) on GeOsF2 after structural relaxation.

a b c (Å): 2.7074 2.7074 26.1276
angles (deg): 90.00 90.00 120.00
Space group R-3m (No. 166, hexagonal axes)
Unique sites:
Ge  0.0000  0.0000  0.0000 [3 per cell]
Os  0.0000  0.0000  0.5000 [3 per cell]
F  0.0000  0.0000  0.0717 [6 per cell]

Results
The mass density is 9.036 g/cm3. The electronic total energy is -5.270 eV per atom.